[1]
## Ac2SmSi3Ni12 (PBE)

Data for a relaxed Ac2SmSi3Ni12 crystal.

Properties
For the energy relative to the elements, uncorrected, the calculation gives 0.03 eV/atom. As for the space-group type: R-3m (166).

Cell: 7.954 7.954 7.954 Å, 56.37 56.37 56.37°
Atoms (fractional coordinates):
Ac: 0.603 0.603 0.603
Ac: 0.397 0.397 0.397
Sm: 0.000 0.000 0.000
Si: 0.500 0.000 0.000
Si: 0.000 0.500 0.000
Si: 0.000 0.000 0.500
Ni: 0.350 0.350 0.878
Ni: 0.840 0.840 0.494
Ni: 0.494 0.840 0.840
Ni: 0.878 0.350 0.350
Ni: 0.840 0.494 0.840
Ni: 0.350 0.878 0.350
Ni: 0.650 0.650 0.122
Ni: 0.160 0.160 0.506
Ni: 0.506 0.160 0.160
Ni: 0.122 0.650 0.650
Ni: 0.160 0.506 0.160
Ni: 0.650 0.122 0.650

=====

[2]
## Ge6IrPt (PBE)

Data for a relaxed Ge6IrPt crystal.

Properties
The formation energy comes out at -2.69 kcal/mol of atoms. As for the space-group type: P-1 (2).

Cell: 6.087 6.345 7.517 Å, 55.64 54.86 41.76°
Atoms (fractional coordinates):
Ge: 0.015 0.468 0.772
Ge: 0.836 0.981 0.767
Ge: 0.507 0.230 0.346
Ge: 0.164 0.019 0.233
Ge: 0.985 0.532 0.228
Ge: 0.493 0.770 0.654
Ir: 0.500 0.500 0.500
Pt: 0.000 0.000 0.000

=====

[3]
## K2LaBe (PBE)

Data for a relaxed K2LaBe crystal.

Properties
The formation energy comes out at 18.32 kcal/mol of atoms. As for the space-group type: C2/m (12).

Cell: 7.649 7.649 3.813 Å, 76.26 76.26 128.41°
Atoms (fractional coordinates):
Be: 0.000 0.500 0.500
K: 0.000 0.000 0.000
K: 0.500 0.500 0.000
La: 0.500 0.000 0.500

=====

[4]
## CeTmThZr (PBE)

Data for a relaxed CeTmThZr crystal.

Properties
The formation energy comes out at 4.23 kcal/mol of atoms. As for the space-group type: F-43m (216).

Cell: 5.446 5.446 5.446 Å, 60.00 60.00 60.00°
Atoms (fractional coordinates):
Zr: 0.250 0.250 0.250
Tm: 0.750 0.750 0.750
Ce: 0.500 0.500 0.500
Th: 0.000 0.000 0.000

=====

[5]
## VCo2MoH (PBE)

Data for a relaxed VCo2MoH crystal.

Properties
The offset from the most stable computed form is 30.7 meV per atom. As for the space-group type: P4/mmm (123).

Cell: 3.635 3.635 3.895 Å, 90.00 90.00 90.00°
Atoms (fractional coordinates):
H: 0.000 0.000 0.000
Mo: 0.000 0.000 0.500
Co: 0.000 0.500 0.000
Co: 0.500 0.000 0.000
V: 0.500 0.500 0.500

=====

[6]
## KMn2Ag (PBE)

Data for a relaxed KMn2Ag crystal.

Properties
The formation energy comes out at 16.87 kcal/mol of atoms. The offset from the most stable computed form is 128.2 meV per atom. As for the space-group type: P4/mmm (123).

Cell: 3.389 3.389 8.612 Å, 90.00 90.00 90.00°
Atoms (fractional coordinates):
Ag: 0.500 0.500 0.250
K: 0.500 0.500 0.750
Mn: 0.000 0.000 0.086
Mn: 0.000 0.000 0.414

=====

[7]
## Ce2AlPt7 (PBE)

Data for a relaxed Ce2AlPt7 crystal.

Properties
The formation energy comes out at -18.34 kcal/mol of atoms. As for the space-group type: P-4m2 (115).

Cell: 3.893 3.893 12.760 Å, 90.00 90.00 90.00°
Atoms (fractional coordinates):
Ce: 0.500 0.000 0.734
Ce: 0.000 0.500 0.266
Al: 0.500 0.500 0.000
Pt: 0.000 0.500 0.855
Pt: 0.500 0.000 0.349
Pt: 0.500 0.000 0.145
Pt: 0.000 0.500 0.651
Pt: 0.000 0.000 0.500
Pt: 0.000 0.000 0.000
Pt: 0.500 0.500 0.500

=====

[8]
## Sr2CaGa3Au12 (PBE)

Data for a relaxed Sr2CaGa3Au12 crystal.

Properties
The formation energy comes out at -4.73 kcal/mol of atoms. As for the space-group type: R-3m (166).

Cell: 8.258 8.258 8.258 Å, 67.19 67.19 67.19°
Atoms (fractional coordinates):
Sr: 0.602 0.602 0.602
Sr: 0.398 0.398 0.398
Ca: 0.000 0.000 0.000
Ga: 0.500 0.000 0.000
Ga: 0.000 0.500 0.000
Ga: 0.000 0.000 0.500
Au: 0.321 0.321 0.848
Au: 0.855 0.855 0.382
Au: 0.382 0.855 0.855
Au: 0.848 0.321 0.321
Au: 0.855 0.382 0.855
Au: 0.321 0.848 0.321
Au: 0.679 0.679 0.152
Au: 0.145 0.145 0.618
Au: 0.618 0.145 0.145
Au: 0.152 0.679 0.679
Au: 0.145 0.618 0.145
Au: 0.679 0.152 0.679

=====

[9]
## La5MgHg4 (PBE)

Data for a relaxed La5MgHg4 crystal.

Properties
The formation energy comes out at -9.76 kcal/mol of atoms. As for the space-group type: P4/mmm (123).

Cell: 3.937 3.937 19.418 Å, 90.00 90.00 90.00°
Atoms (fractional coordinates):
La: 0.500 0.500 0.102
La: 0.500 0.500 0.301
La: 0.500 0.500 0.500
La: 0.500 0.500 0.699
La: 0.500 0.500 0.898
Mg: 0.000 0.000 0.000
Hg: 0.000 0.000 0.197
Hg: 0.000 0.000 0.400
Hg: 0.000 0.000 0.600
Hg: 0.000 0.000 0.803

=====

[10]
## ScSi3Ru5 (PBE)

Data for a relaxed ScSi3Ru5 crystal.

Properties
For the energy relative to the elements, uncorrected, the calculation gives -0.42 eV/atom. As for the space-group type: Cmcm (63).

Cell: 2.926 6.692 13.959 Å, 90.00 90.00 102.63°
Atoms (fractional coordinates):
Sc: 0.845 0.691 0.750
Sc: 0.155 0.309 0.250
Si: 0.367 0.733 0.944
Si: 0.857 0.714 0.250
Si: 0.367 0.733 0.556
Si: 0.633 0.267 0.444
Si: 0.143 0.286 0.750
Si: 0.633 0.267 0.056
Ru: 0.808 0.616 0.416
Ru: 0.192 0.384 0.916
Ru: 0.000 0.000 0.500
Ru: 0.000 0.000 0.000
Ru: 0.476 0.953 0.157
Ru: 0.524 0.047 0.843
Ru: 0.524 0.047 0.657
Ru: 0.808 0.616 0.084
Ru: 0.192 0.384 0.584
Ru: 0.476 0.953 0.343

=====

[11]
## LaP2Ir (PBE)

Data for a relaxed LaP2Ir crystal.

Properties
The formation energy comes out at -20.56 kcal/mol of atoms. As for the space-group type: Immm (71).

Cell: 4.959 4.959 4.959 Å, 133.41 106.97 91.19°
Atoms (fractional coordinates):
Ir: 0.750 0.250 0.500
La: 0.250 0.750 0.500
P: 0.936 0.936 0.000
P: 0.564 0.564 0.000

=====

[12]
## Tm2Ga4Pt3Rh (PBE)

Data for a relaxed Tm2Ga4Pt3Rh crystal.

Properties
The formation energy comes out at -21.15 kcal/mol of atoms. As for the space-group type: P-4m2 (115).

Cell: 4.088 4.088 10.943 Å, 90.00 90.00 90.00°
Atoms (fractional coordinates):
Tm: 0.500 0.000 0.257
Tm: 0.000 0.500 0.743
Ga: 0.500 0.500 0.000
Ga: 0.000 0.000 0.000
Ga: 0.500 0.000 0.631
Ga: 0.000 0.500 0.369
Pt: 0.000 0.000 0.500
Pt: 0.500 0.000 0.857
Pt: 0.000 0.500 0.143
Rh: 0.500 0.500 0.500